ErHg2Br8 | GGA-PBE | relaxed Values from VASP.

Quantum ESPRESSO input file:
```
&SYSTEM
  ibrav = 0, nat = 11, ntyp = 3
/
ATOMIC_SPECIES
Er 167.26 Er.upf
Hg 200.59 Hg.upf
Br 79.90 Br.upf
CELL_PARAMETERS angstrom
-1.465 -5.617 3.785
-3.354 -2.298 -7.237
7.582 -2.072 -2.669
ATOMIC_POSITIONS crystal
Er 0.000 0.000 0.000
Hg 0.677 0.219 0.219
Hg 0.323 0.781 0.781
Br 0.202 0.072 0.738
Br 0.202 0.738 0.072
Br 0.798 0.928 0.262
Br 0.210 0.547 0.547
Br 0.798 0.262 0.928
Br 0.287 0.217 0.217
Br 0.713 0.783 0.783
Br 0.790 0.453 0.453
```

Formation energy from raw total energies = -838 meV per atom
Total energy = -2.52 eV per atom
V = 42.15 Å³/atom
SG = No. 12